Here is an optimized crystal structure of NaLi5CoN2 from the Alexandria database. Energies are from GGA-PBE.

Cell: 4.124 4.124 7.485 Å, 90.00 90.00 90.00°
Fractional coordinates of all 9 atoms:
1 Li 0.000 0.000 0.500
2 Li 0.000 0.500 0.806
3 Li 0.500 0.000 0.806
4 Li 0.500 0.000 0.194
5 Li 0.000 0.500 0.194
6 N 0.000 0.000 0.761
7 N 0.000 0.000 0.239
8 Co 0.000 0.000 0.000
9 Na 0.500 0.500 0.500

* ΔE_f (raw): -0.217 eV per atom
* spin magnetization: 1.32 μB per cell
* V: 14.143 Å³ per atom